DFT (PBE) results for an optimized crystal structure of AlVSi.

Cell: 8.563 4.770 8.127 Å, 90.00 90.00 90.00°
Fractional coordinates of all 24 atoms:
V 0.500 0.500 0.000
V 0.000 0.000 0.000
V 0.250 0.250 0.750
V 0.250 0.750 0.250
V 0.750 0.750 0.750
V 0.000 0.500 0.500
V 0.750 0.250 0.250
V 0.500 0.000 0.500
Al 0.500 0.000 0.831
Al 0.500 0.500 0.331
Al 0.000 0.000 0.331
Al 0.500 0.500 0.669
Al 0.500 0.000 0.169
Al 0.000 0.500 0.831
Al 0.000 0.500 0.169
Al 0.000 0.000 0.669
Si 0.750 0.250 0.581
Si 0.750 0.750 0.419
Si 0.250 0.250 0.419
Si 0.750 0.250 0.919
Si 0.250 0.750 0.581
Si 0.250 0.250 0.081
Si 0.750 0.750 0.081
Si 0.250 0.750 0.919

The calculation puts the density of states at the Fermi level at 1.463 states/eV/f.u. The calculation puts the total energy at -6.42 eV per atom. The space-group type is F222.